VASP calculation (PBE-GGA) on a geometry-optimized LaSc5Al4 structure.

Properties
- ΔE_f: -347 meV/atom

a b c (Å): 3.391 3.391 18.614
angles (deg): 90.00 90.00 90.00
Atoms (fractional coordinates):
La (0.000, 0.000, 0.000)
Al (0.000, 0.000, 0.410)
Sc (0.500, 0.500, 0.680)
Al (0.000, 0.000, 0.590)
Sc (0.500, 0.500, 0.137)
Al (0.000, 0.000, 0.772)
Sc (0.500, 0.500, 0.500)
Sc (0.500, 0.500, 0.320)
Sc (0.500, 0.500, 0.863)
Al (0.000, 0.000, 0.228)

VASP calculation (PBE-GGA) on a geometry-optimized La2ScAlSe structure.

Properties
- Formation energy without anion corrections: -0.52 eV/atom

a b c (Å): 5.661 4.972 5.661
angles (deg): 90.00 90.00 90.00
Atoms (fractional coordinates):
La (0.500, 0.000, 0.000)
Se (0.000, 0.000, 0.000)
Al (0.500, 0.500, 0.500)
Sc (0.000, 0.500, 0.000)
La (0.000, 0.000, 0.500)

VASP calculation (PBE-GGA) on a geometry-optimized LaScAl2Tc structure.

Properties
- ΔE_f: -260 meV/atom

a b c (Å): 4.901 4.901 4.848
angles (deg): 90.00 90.00 90.00
Atoms (fractional coordinates):
La (0.500, 0.500, 0.500)
Al (0.000, 0.500, 0.000)
Al (0.500, 0.000, 0.000)
Tc (0.000, 0.000, 0.000)
Sc (0.000, 0.000, 0.500)

VASP calculation (PBE-GGA) on a geometry-optimized LaScAl2Zn2 structure.

Properties
- ΔE_f: -456 meV/atom

a b c (Å): 4.445 4.445 7.366
angles (deg): 90.00 90.00 120.00
Atoms (fractional coordinates):
Zn (0.667, 0.333, 0.698)
Al (0.333, 0.667, 0.710)
La (0.000, 0.000, 0.000)
Zn (0.333, 0.667, 0.302)
Al (0.667, 0.333, 0.290)
Sc (0.000, 0.000, 0.500)

no.,total magnetic moment (Bohr magnetons per cell),N(E_F) (states/eV per atom)
1,0.00,0.870
2,0.00,1.008
3,0.00,0.711
4,0.00,0.608